Here is a geometry-optimized Ca2CdFeO structure from the Alexandria database. Energies are from PBE+U.

Structure (CIF):
```
data_Ca2CdFeO
_cell_length_a 6.0164
_cell_length_b 6.0164
_cell_length_c 3.6111
_cell_angle_alpha 90.00
_cell_angle_beta 90.00
_cell_angle_gamma 90.00
_space_group_name_H-M_alt 'P 4/m m m'
_space_group_IT_number 123
_space_group_name_Hall '-P 4 2'
loop_
_atom_site_label
_atom_site_fract_x
_atom_site_fract_y
_atom_site_fract_z
Ca1 0.0000 0.5000 0.0000
Cd1 0.0000 0.0000 0.5000
Fe1 0.5000 0.5000 0.0000
O1 0.5000 0.5000 0.5000
```

Density, kg/m³: 3359
Uncorrected energy, eV for the cell shown: -17.36